# 1
Entry from the Alexandria database: SrBi2Au2 after structural relaxation (PBEsol).

V (Å³ per atom): 27.3
Calculated formation energy (meV/atom): -448

abc: 4.603 4.603 12.886
angles: 90.00 90.00 90.00
Space group I4/mmm (No. 139)
Asymmetric unit:
Sr1 0.000 0.000 0.000 [2 per cell]
Bi1 0.000 0.500 0.250 [4 per cell]
Au1 0.000 0.000 0.398 [4 per cell]

# 2
Entry from the Alexandria database: ZnRu2Se after structural relaxation (PBEsol).

Formation energy (no corrections) (eV per formula unit): 0.6
V (Å³ per atom): 14.1

abc: 9.092 2.922 4.547
angles: 90.00 110.51 90.00
Space group Cm (No. 8)
Asymmetric unit:
Zn1 0.000 0.000 0.000 [2 per cell]
Ru1 0.242 0.500 0.072 [2 per cell]
Ru2 0.478 0.000 0.488 [2 per cell]
Se1 0.221 0.000 0.625 [2 per cell]

# 3
Entry from the Alexandria database: NaBO2 after structural relaxation (PBEsol).

Formation energy (no corrections) (eV per formula unit): -4.4
V (Å³ per atom): 8.4

abc: 2.5690 2.5690 17.6605
angles: 90.00 90.00 120.00
Space group R-3m (No. 166, hexagonal axes)
Asymmetric unit:
Na1 0.0000 0.0000 0.0000 [3 per cell]
B1 0.0000 0.0000 0.5000 [3 per cell]
O1 0.0000 0.0000 0.1173 [6 per cell]

# 4
Entry from the Alexandria database: Mg2CuW after structural relaxation (PBEsol).

V (Å³ per atom): 15.9
Calculated formation energy (meV/atom): 687
ΔE to the lowest computed polymorph (meV/atom): 234.6

abc: 6.340 6.340 6.340
angles: 90.00 90.00 90.00
Space group F-43m (No. 216)
Asymmetric unit:
Mg1 0.000 0.000 0.000 [4 per cell]
Mg2 0.250 0.250 0.250 [4 per cell]
Cu1 0.000 0.000 0.500 [4 per cell]
W1 0.250 0.250 0.750 [4 per cell]

# 5
Entry from the Alexandria database: Nd3Lu after structural relaxation (PBEsol).

V (Å³ per atom): 31.4
Calculated formation energy (meV/atom): 5

abc: 5.010 5.010 5.010
angles: 90.00 90.00 90.00
Space group Pm-3m (No. 221)
Asymmetric unit:
Nd1 0.000 0.000 0.500 [3 per cell]
Lu1 0.500 0.500 0.500 [1 per cell]

# 6
Entry from the Alexandria database: Sr2TlBr2 after structural relaxation (PBEsol).

Formation energy (no corrections) (eV per formula unit): -5.8
V (Å³ per atom): 35.6

abc: 4.866 4.866 15.035
angles: 90.00 90.00 90.00
Space group I4/mmm (No. 139)
Asymmetric unit:
Sr1 0.000 0.000 0.126 [4 per cell]
Tl1 0.000 0.000 0.500 [2 per cell]
Br1 0.000 0.500 0.250 [4 per cell]

# 7
Entry from the Alexandria database: TlFe2Ag after structural relaxation (PBEsol).

V (Å³ per atom): 15.7
Calculated formation energy (meV/atom): 373
ΔE to the lowest computed polymorph (meV/atom): 0.0

abc: 3.026 3.026 6.849
angles: 90.00 90.00 90.00
Space group P4mm (No. 99)
Asymmetric unit:
Tl1 0.000 0.000 0.000 [1 per cell]
Fe1 0.000 0.000 0.564 [1 per cell]
Fe2 0.500 0.500 0.723 [1 per cell]
Ag1 0.500 0.500 0.314 [1 per cell]

# 8
Entry from the Alexandria database: LaCeMg2 after structural relaxation (PBEsol).

V (Å³ per atom): 28.4
Calculated formation energy (meV/atom): 59

abc: 7.690 7.690 7.690
angles: 90.00 90.00 90.00
Space group Fm-3m (No. 225)
Asymmetric unit:
La1 0.000 0.000 0.000 [4 per cell]
Ce1 0.000 0.000 0.500 [4 per cell]
Mg1 0.250 0.250 0.250 [8 per cell]

> Which of these has the lowest V?

NaBO2